[1]
First-principles (PBE) data for an optimized crystal structure of Ca7Sn2Au2, as listed in Alexandria via LeMat-Bulk. Values from VASP.

## Properties
Density of states at the Fermi level, states/eV per cell: 7.8
Symmetry: Cmmm
Formation energy, eV/atom: -0.474
Theoretical density, g cm⁻³: 4.2
Volume, Å³ per atom: 32.83
Magnetic moment, μB per cell: 0.0

```
&SYSTEM
  ibrav = 0, nat = 11, ntyp = 3
/
ATOMIC_SPECIES
Ca 40.08 Ca.upf
Sn 118.71 Sn.upf
Au 196.97 Au.upf
ATOMIC_POSITIONS crystal
Ca 0.0000 0.0000 0.0000
Ca 0.0000 0.5000 0.2666
Ca 0.0000 0.5000 0.7334
Ca 0.5000 0.0000 0.2666
Ca 0.5000 0.0000 0.7334
Ca 0.5000 0.5000 0.2458
Ca 0.5000 0.5000 0.7542
Sn 0.1778 0.1778 0.5000
Sn 0.8222 0.8222 0.5000
Au 0.2895 0.7105 0.0000
Au 0.7105 0.2895 0.0000
CELL_PARAMETERS angstrom
4.1846 -5.7261 0.0000
4.1846 5.7261 0.0000
0.0000 0.0000 7.5347
```



[2]
First-principles (PBE) data for an optimized crystal structure of Ca3Sn2Au2, as listed in Alexandria via LeMat-Bulk. Values from VASP.

## Properties
Density of states at the Fermi level, states/eV per cell: 2.8
Symmetry: C2/m
Formation energy, eV/atom: -0.697
Theoretical density, g cm⁻³: 6.5
Volume, Å³ per atom: 27.40
Magnetic moment, μB per cell: 0.0

```
&SYSTEM
  ibrav = 0, nat = 7, ntyp = 3
/
ATOMIC_SPECIES
Ca 40.08 Ca.upf
Sn 118.71 Sn.upf
Au 196.97 Au.upf
ATOMIC_POSITIONS crystal
Ca 0.0000 0.0000 0.0000
Ca 0.1701 0.1701 0.6520
Ca 0.8299 0.8299 0.3480
Sn 0.4528 0.4528 0.6586
Sn 0.5472 0.5472 0.3414
Au 0.3217 0.3217 0.0674
Au 0.6783 0.6783 0.9326
CELL_PARAMETERS angstrom
5.7174 -2.2930 0.0000
5.7174 2.2930 0.0000
-2.2368 0.0000 7.3161
```



[3]
First-principles (PBE) data for an optimized crystal structure of Ca3SnAu, as listed in Alexandria via LeMat-Bulk. Values from VASP.

## Properties
E above lowest polymorph, eV per atom: 0.0000
Density of states at the Fermi level, states/eV per cell: 8.2
Symmetry: C2/c
Formation energy, eV/atom: -0.593
Theoretical density, g cm⁻³: 4.7
Volume, Å³ per atom: 30.85
Magnetic moment, μB per cell: 0.0

```
&SYSTEM
  ibrav = 0, nat = 20, ntyp = 3
/
ATOMIC_SPECIES
Ca 40.08 Ca.upf
Sn 118.71 Sn.upf
Au 196.97 Au.upf
ATOMIC_POSITIONS crystal
Ca 0.0111 0.8082 0.9116
Ca 0.0738 0.4262 0.6831
Ca 0.1918 0.9889 0.5884
Ca 0.3068 0.5057 0.0886
Ca 0.4262 0.0738 0.1831
Ca 0.4943 0.6932 0.4114
Ca 0.5057 0.3068 0.5886
Ca 0.5738 0.9262 0.8169
Ca 0.6932 0.4943 0.9114
Ca 0.8082 0.0111 0.4116
Ca 0.9262 0.5738 0.3169
Ca 0.9889 0.1918 0.0884
Sn 0.1484 0.8516 0.2500
Sn 0.3529 0.6471 0.7500
Sn 0.6471 0.3529 0.2500
Sn 0.8516 0.1484 0.7500
Au 0.1934 0.2981 0.3695
Au 0.2981 0.1934 0.8695
Au 0.7019 0.8066 0.1305
Au 0.8066 0.7019 0.6305
CELL_PARAMETERS angstrom
6.2637 -5.6045 0.0000
6.2637 5.6045 0.0000
-0.0002 0.0000 8.7884
```



[4]
First-principles (PBE) data for an optimized crystal structure of Ca2Sn2Au15, as listed in Alexandria via LeMat-Bulk. Values from VASP.

## Properties
Density of states at the Fermi level, states/eV per cell: 7.5
Symmetry: R-3m
Formation energy, eV/atom: -0.271
Theoretical density, g cm⁻³: 13.7
Volume, Å³ per atom: 20.81
Magnetic moment, μB per cell: 0.0

```
&SYSTEM
  ibrav = 0, nat = 19, ntyp = 3
/
ATOMIC_SPECIES
Ca 40.08 Ca.upf
Sn 118.71 Sn.upf
Au 196.97 Au.upf
ATOMIC_POSITIONS crystal
Ca 0.1429 0.1429 0.1429
Ca 0.8571 0.8571 0.8571
Sn 0.3991 0.3991 0.3991
Sn 0.6009 0.6009 0.6009
Au 0.0000 0.5000 0.5000
Au 0.1597 0.5000 0.8403
Au 0.1597 0.8403 0.5000
Au 0.1655 0.1655 0.6763
Au 0.1655 0.6763 0.1655
Au 0.3237 0.8345 0.8345
Au 0.5000 0.0000 0.5000
Au 0.5000 0.1597 0.8403
Au 0.5000 0.5000 0.0000
Au 0.5000 0.8403 0.1597
Au 0.6763 0.1655 0.1655
Au 0.8345 0.3237 0.8345
Au 0.8345 0.8345 0.3237
Au 0.8403 0.1597 0.5000
Au 0.8403 0.5000 0.1597
CELL_PARAMETERS angstrom
4.9022 2.8303 4.7499
-4.9022 2.8303 4.7499
0.0000 -5.6606 4.7499
```



[5]
First-principles (PBE) data for an optimized crystal structure of CaSnAu, as listed in Alexandria via LeMat-Bulk. Values from VASP.

## Properties
Density of states at the Fermi level, states/eV per cell: 2.2
Symmetry: P2_1/m
Formation energy, eV/atom: -0.594
Theoretical density, g cm⁻³: 8.0
Volume, Å³ per atom: 24.52
Magnetic moment, μB per cell: 0.0

```
&SYSTEM
  ibrav = 0, nat = 6, ntyp = 3
/
ATOMIC_SPECIES
Ca 40.08 Ca.upf
Sn 118.71 Sn.upf
Au 196.97 Au.upf
ATOMIC_POSITIONS crystal
Ca 0.1056 0.2500 0.2104
Ca 0.8944 0.7500 0.7896
Sn 0.3965 0.2500 0.7963
Sn 0.6035 0.7500 0.2037
Au 0.2331 0.7500 0.4640
Au 0.7669 0.2500 0.5360
CELL_PARAMETERS angstrom
4.7861 0.0000 0.0000
0.0000 5.1020 0.0000
-2.3651 0.0000 6.0244
```



[6]
First-principles (PBE) data for an optimized crystal structure of Ca5SnAu4, as listed in Alexandria via LeMat-Bulk. Values from VASP.

## Properties
Density of states at the Fermi level, states/eV per cell: 5.5
Symmetry: P4/mmm
Formation energy, eV/atom: -0.765
Theoretical density, g cm⁻³: 7.4
Volume, Å³ per atom: 24.96
Magnetic moment, μB per cell: 0.0

```
&SYSTEM
  ibrav = 0, nat = 10, ntyp = 3
/
ATOMIC_SPECIES
Ca 40.08 Ca.upf
Sn 118.71 Sn.upf
Au 196.97 Au.upf
ATOMIC_POSITIONS crystal
Ca 0.0000 0.0000 0.0000
Ca 0.0000 0.0000 0.1936
Ca 0.0000 0.0000 0.3873
Ca 0.0000 0.0000 0.6127
Ca 0.0000 0.0000 0.8064
Sn 0.5000 0.5000 0.5000
Au 0.5000 0.5000 0.0967
Au 0.5000 0.5000 0.2909
Au 0.5000 0.5000 0.7091
Au 0.5000 0.5000 0.9033
CELL_PARAMETERS angstrom
3.6546 0.0000 0.0000
0.0000 3.6546 0.0000
0.0000 0.0000 18.6910
```



[7]
First-principles (PBE) data for an optimized crystal structure of Ca3Sn5Au6, as listed in Alexandria via LeMat-Bulk. Values from VASP.

## Properties
Density of states at the Fermi level, states/eV per cell: 11.5
Symmetry: Pmmn
Formation energy, eV/atom: -0.531
Theoretical density, g cm⁻³: 9.6
Volume, Å³ per atom: 23.44
Magnetic moment, μB per cell: 0.0

```
&SYSTEM
  ibrav = 0, nat = 28, ntyp = 3
/
ATOMIC_SPECIES
Ca 40.08 Ca.upf
Sn 118.71 Sn.upf
Au 196.97 Au.upf
ATOMIC_POSITIONS crystal
Ca 0.2500 0.0603 0.2455
Ca 0.2500 0.4397 0.2455
Ca 0.2500 0.7500 0.2411
Ca 0.7500 0.2500 0.7589
Ca 0.7500 0.5603 0.7545
Ca 0.7500 0.9397 0.7545
Sn 0.2500 0.0773 0.8889
Sn 0.2500 0.4227 0.8889
Sn 0.2500 0.6028 0.5221
Sn 0.2500 0.7500 0.7570
Sn 0.2500 0.8972 0.5221
Sn 0.7500 0.1028 0.4779
Sn 0.7500 0.2500 0.2430
Sn 0.7500 0.3972 0.4779
Sn 0.7500 0.5773 0.1111
Sn 0.7500 0.9227 0.1111
Au 0.2500 0.0949 0.6295
Au 0.2500 0.2500 0.0261
Au 0.2500 0.2500 0.4268
Au 0.2500 0.4051 0.6295
Au 0.2500 0.6169 0.9663
Au 0.2500 0.8831 0.9663
Au 0.7500 0.1169 0.0337
Au 0.7500 0.3831 0.0337
Au 0.7500 0.5949 0.3705
Au 0.7500 0.7500 0.5732
Au 0.7500 0.7500 0.9739
Au 0.7500 0.9051 0.3705
CELL_PARAMETERS angstrom
4.5733 0.0000 0.0000
0.0000 13.7380 0.0000
0.0000 0.0000 10.4460
```



[8]
First-principles (PBE) data for an optimized crystal structure of Ca5Sn5Au2, as listed in Alexandria via LeMat-Bulk. Values from VASP.

## Properties
Density of states at the Fermi level, states/eV per cell: 5.0
Symmetry: C2/m
Formation energy, eV/atom: -0.647
Theoretical density, g cm⁻³: 6.1
Volume, Å³ per atom: 26.90
Magnetic moment, μB per cell: 0.0

```
&SYSTEM
  ibrav = 0, nat = 12, ntyp = 3
/
ATOMIC_SPECIES
Ca 40.08 Ca.upf
Sn 118.71 Sn.upf
Au 196.97 Au.upf
ATOMIC_POSITIONS crystal
Ca 0.0000 0.0000 0.0000
Ca 0.1289 0.1289 0.4302
Ca 0.1678 0.1678 0.8384
Ca 0.8322 0.8322 0.1616
Ca 0.8711 0.8711 0.5698
Sn 0.2565 0.2565 0.2627
Sn 0.4617 0.4617 0.1654
Sn 0.5000 0.5000 0.5000
Sn 0.5383 0.5383 0.8346
Sn 0.7435 0.7435 0.7373
Au 0.3440 0.3440 0.7688
Au 0.6560 0.6560 0.2312
CELL_PARAMETERS angstrom
8.2050 -2.4057 0.0000
8.2050 2.4057 0.0000
-6.3539 0.0000 8.1760
```



[9]
First-principles (PBE) data for an optimized crystal structure of Ca5Sn2Au12, as listed in Alexandria via LeMat-Bulk. Values from VASP.

## Properties
Density of states at the Fermi level, states/eV per cell: 7.7
Symmetry: C2/m
Formation energy, eV/atom: -0.555
Theoretical density, g cm⁻³: 10.9
Volume, Å³ per atom: 22.40
Magnetic moment, μB per cell: 0.0

```
&SYSTEM
  ibrav = 0, nat = 19, ntyp = 3
/
ATOMIC_SPECIES
Ca 40.08 Ca.upf
Sn 118.71 Sn.upf
Au 196.97 Au.upf
ATOMIC_POSITIONS crystal
Ca 0.0000 0.0000 0.0000
Ca 0.2457 0.2457 0.9375
Ca 0.3052 0.3052 0.4564
Ca 0.6948 0.6948 0.5436
Ca 0.7543 0.7543 0.0625
Sn 0.2708 0.7292 0.5000
Sn 0.7292 0.2708 0.5000
Au 0.0320 0.6627 0.7461
Au 0.1185 0.1185 0.6156
Au 0.1972 0.5882 0.1394
Au 0.3373 0.9680 0.2539
Au 0.4118 0.8028 0.8606
Au 0.4408 0.4408 0.7995
Au 0.5592 0.5592 0.2005
Au 0.5882 0.1972 0.1394
Au 0.6627 0.0320 0.7461
Au 0.8028 0.4118 0.8606
Au 0.8815 0.8815 0.3844
Au 0.9680 0.3373 0.2539
CELL_PARAMETERS angstrom
8.0230 -3.7836 0.0000
8.0230 3.7836 0.0000
-0.2333 0.0000 7.0100
```



[10]
First-principles (PBE) data for an optimized crystal structure of Ca8Sn2Au, as listed in Alexandria via LeMat-Bulk. Values from VASP.

## Properties
E above lowest polymorph, eV per atom: 0.0890
Density of states at the Fermi level, states/eV per cell: 8.0
Symmetry: Immm
Formation energy, eV/atom: -0.401
Theoretical density, g cm⁻³: 3.6
Volume, Å³ per atom: 31.42
Magnetic moment, μB per cell: 0.0

```
&SYSTEM
  ibrav = 0, nat = 11, ntyp = 3
/
ATOMIC_SPECIES
Ca 40.08 Ca.upf
Sn 118.71 Sn.upf
Au 196.97 Au.upf
ATOMIC_POSITIONS crystal
Ca 0.1282 0.3455 0.7827
Ca 0.1293 0.1293 0.0000
Ca 0.3253 0.0000 0.3253
Ca 0.4372 0.6545 0.7827
Ca 0.5628 0.3455 0.2173
Ca 0.6747 0.0000 0.6747
Ca 0.8707 0.8707 0.0000
Ca 0.8718 0.6545 0.2173
Sn 0.3019 0.8019 0.5000
Sn 0.6981 0.1981 0.5000
Au 0.0000 0.5000 0.5000
CELL_PARAMETERS angstrom
-2.5970 4.4878 7.4126
2.5970 -4.4878 7.4126
2.5970 4.4878 -7.4126
```



[11]
First-principles (PBE) data for an optimized crystal structure of SrCaSn2Au4, as listed in Alexandria via LeMat-Bulk. Values from VASP.

## Properties
Density of states at the Fermi level, states/eV per cell: 3.4
Symmetry: R-3m
Formation energy, eV/atom: -0.570
Theoretical density, g cm⁻³: 10.2
Volume, Å³ per atom: 23.52
Magnetic moment, μB per cell: 0.0

```
&SYSTEM
  ibrav = 0, nat = 8, ntyp = 4
/
ATOMIC_SPECIES
Sr 87.62 Sr.upf
Ca 40.08 Ca.upf
Sn 118.71 Sn.upf
Au 196.97 Au.upf
ATOMIC_POSITIONS crystal
Sr 0.0000 0.0000 0.0000
Ca 0.5000 0.5000 0.5000
Sn 0.2460 0.2460 0.2460
Sn 0.7540 0.7540 0.7540
Au 0.1290 0.1290 0.1290
Au 0.3868 0.3868 0.3868
Au 0.6132 0.6132 0.6132
Au 0.8710 0.8710 0.8710
CELL_PARAMETERS angstrom
2.5057 1.4467 8.6511
-2.5057 1.4467 8.6511
0.0000 -2.8934 8.6511
```



[12]
First-principles (PBE) data for an optimized crystal structure of SrCaSn2Au2, as listed in Alexandria via LeMat-Bulk. Values from VASP.

## Properties
Density of states at the Fermi level, states/eV per cell: 2.9
Symmetry: P-3m1
Formation energy, eV/atom: -0.709
Theoretical density, g cm⁻³: 8.1
Volume, Å³ per atom: 25.98
Magnetic moment, μB per cell: 0.0

```
&SYSTEM
  ibrav = 0, nat = 6, ntyp = 4
/
ATOMIC_SPECIES
Sr 87.62 Sr.upf
Ca 40.08 Ca.upf
Sn 118.71 Sn.upf
Au 196.97 Au.upf
ATOMIC_POSITIONS crystal
Sr 0.0000 0.0000 0.0000
Ca 0.0000 0.0000 0.5000
Sn 0.3333 0.6667 0.2825
Sn 0.6667 0.3333 0.7175
Au 0.3333 0.6667 0.7066
Au 0.6667 0.3333 0.2934
CELL_PARAMETERS angstrom
4.8585 0.0000 0.0000
-2.4292 4.2076 0.0000
0.0000 0.0000 7.6261
```



Among the records above, which one has the lowest density of states at the Fermi level?
CaSnAu



What is the formula in the second record?
Ca3Sn2Au2



The highest theoretical density belongs to which entry?
Ca2Sn2Au15



Please write out number 12 again, unchanged.
First-principles (PBE) data for an optimized crystal structure of SrCaSn2Au2, as listed in Alexandria via LeMat-Bulk. Values from VASP.

## Properties
Density of states at the Fermi level, states/eV per cell: 2.9
Symmetry: P-3m1
Formation energy, eV/atom: -0.709
Theoretical density, g cm⁻³: 8.1
Volume, Å³ per atom: 25.98
Magnetic moment, μB per cell: 0.0

```
&SYSTEM
  ibrav = 0, nat = 6, ntyp = 4
/
ATOMIC_SPECIES
Sr 87.62 Sr.upf
Ca 40.08 Ca.upf
Sn 118.71 Sn.upf
Au 196.97 Au.upf
ATOMIC_POSITIONS crystal
Sr 0.0000 0.0000 0.0000
Ca 0.0000 0.0000 0.5000
Sn 0.3333 0.6667 0.2825
Sn 0.6667 0.3333 0.7175
Au 0.3333 0.6667 0.7066
Au 0.6667 0.3333 0.2934
CELL_PARAMETERS angstrom
4.8585 0.0000 0.0000
-2.4292 4.2076 0.0000
0.0000 0.0000 7.6261
```